[1]
Computed, not measured: a geometry-optimized K3UV2S6 structure at the PBE-GGA level of DFT.

Output
- formation energy from raw total energies (eV per atom) = -1.20

Unit cell a=6.5537 b=11.3431 c=7.6218 alpha=90.00 beta=106.67 gamma=90.00
Last column: nearest neighbours and their distance in Å.
Space group C2/m (No. 12)
Inequivalent atoms, fractional coordinates:
K1 0.0000 0.0000 0.0000 [2 per cell]  6 S 3.07-3.20
K2 0.0000 0.3356 0.0000 [4 per cell]  6 S 3.08-3.20
U1 0.0000 0.5000 0.5000 [2 per cell]  6 S 2.69
V1 0.0000 0.1668 0.5000 [4 per cell]  6 S 2.53
S1 0.2096 0.0000 0.6880 [4 per cell]  2 V 2.53, 1 U 2.69
S2 0.2395 0.3235 0.6885 [8 per cell]  2 V 2.53, 1 U 2.69



[2]
Computed, not measured: a geometry-optimized KUVS4 structure at the PBE-GGA level of DFT.

Output
- formation energy from raw total energies (eV per atom) = -1.18

Unit cell a=6.5003 b=6.4391 c=8.8457 alpha=90.00 beta=107.94 gamma=90.00
Last column: nearest neighbours and their distance in Å.
Space group P2_1/m (No. 11)
Inequivalent atoms, fractional coordinates:
K1 0.2278 0.2500 0.4368 [2 per cell]  8 S 3.15-3.52
U1 0.2732 0.2500 0.9473 [2 per cell]  6 S 2.72-2.80
V1 0.2728 0.7500 0.1707 [2 per cell]  4 S 2.21-2.25
S1 0.0623 0.7500 0.3280 [2 per cell]  1 V 2.23
S2 0.0622 0.7500 0.9214 [2 per cell]  1 V 2.21
S3 0.4868 0.5101 0.7942 [4 per cell]  1 V 2.25